First-principles (PBE) data for a relaxed Rb4Pm3HfO8 crystal, as listed in the Alexandria database.

- Formation energy (no corrections): -2.528 eV/atom
- DOS at the Fermi energy: 3.8 states/eV/f.u.

abc: 7.112 7.766 7.113
angles: 117.25 120.00 90.00
Positions (direct):
Rb (0.000, 0.000, 0.500)
O (0.793, 0.329, 0.586)
Pm (0.500, 0.500, 0.000)
Rb (0.500, 0.000, 0.500)
Hf (0.000, 0.500, 0.000)
O (0.207, 0.671, 0.964)
O (0.207, 0.671, 0.414)
O (0.274, 0.322, 0.548)
Pm (0.500, 0.500, 0.500)
Rb (0.500, 0.000, 0.000)
O (0.243, 0.329, 0.036)
O (0.757, 0.671, 0.964)
Pm (0.000, 0.500, 0.500)
Rb (0.000, 0.000, 0.000)
O (0.793, 0.329, 0.036)
O (0.726, 0.678, 0.452)

=====

First-principles (PBE) data for a relaxed Be3AlSe crystal, as listed in the Alexandria database.

- Formation energy (no corrections): 0.966 eV/atom
- DOS at the Fermi energy: 4.0 states/eV/f.u.

abc: 4.324 4.324 4.324
angles: 90.00 90.00 90.00
Positions (direct):
Be (0.000, 0.500, 0.000)
Be (0.500, 0.000, 0.000)
Se (0.000, 0.000, 0.000)
Be (0.000, 0.000, 0.500)
Al (0.500, 0.500, 0.500)

=====

First-principles (PBE) data for a relaxed Ho6Tm8In crystal, as listed in the Alexandria database.

- Formation energy: 0.37 eV/f.u.
- DOS at the Fermi energy: 18.6 states/eV/f.u.

abc: 8.885 8.885 8.380
angles: 57.98 57.98 60.00
Positions (direct):
In (0.000, 0.000, 0.000)
Tm (0.717, 0.109, 0.429)
Tm (0.576, 0.576, 0.273)
Ho (0.452, 0.892, 0.885)
Tm (0.891, 0.254, 0.571)
Ho (0.108, 0.228, 0.115)
Ho (0.228, 0.548, 0.115)
Tm (0.254, 0.283, 0.571)
Tm (0.283, 0.891, 0.571)
Tm (0.424, 0.424, 0.727)
Ho (0.772, 0.452, 0.885)
Tm (0.109, 0.746, 0.429)
Ho (0.548, 0.108, 0.115)
Tm (0.746, 0.717, 0.429)
Ho (0.892, 0.772, 0.885)

=====

First-principles (PBE) data for a relaxed Hf3Zr4Tl crystal, as listed in the Alexandria database.

- Formation energy: 0.10 eV/f.u.
- DOS at the Fermi energy: 7.6 states/eV/f.u.

abc: 5.482 6.388 10.420
angles: 90.00 90.00 90.00
Positions (direct):
Hf (0.674, 0.500, 0.750)
Zr (0.155, 0.745, 0.750)
Zr (0.500, 0.748, 0.000)
Zr (0.500, 0.252, 0.000)
Hf (0.326, 0.500, 0.250)
Zr (0.155, 0.255, 0.750)
Zr (0.500, 0.252, 0.500)
Zr (0.845, 0.255, 0.250)
Hf (0.000, 0.000, 0.000)
Tl (0.000, 0.500, 0.000)
Zr (0.500, 0.748, 0.500)
Zr (0.845, 0.745, 0.250)
Hf (0.643, 0.000, 0.750)
Tl (0.000, 0.500, 0.500)
Hf (0.000, 0.000, 0.500)
Hf (0.357, 0.000, 0.250)

=====

First-principles (PBE) data for a relaxed HfAsAuBr2 crystal, as listed in the Alexandria database.

- Formation energy (no corrections): 0.721 eV/atom
- DOS at the Fermi energy: 4.2 states/eV/f.u.

abc: 5.067 5.067 5.291
angles: 90.00 90.00 90.00
Last column: magnetic moment on the atom in μB.
Positions (direct):
Au (0.000, 0.000, 0.000)  0.00
As (0.000, 0.000, 0.500)  -0.03
Br (0.000, 0.500, 0.000)  0.00
Hf (0.500, 0.500, 0.500)  0.59
Br (0.500, 0.000, 0.000)  0.00

=====

First-principles (PBE) data for a relaxed Dy3YEr3Te8 crystal, as listed in the Alexandria database.

- Formation energy (no corrections): -1.344 eV/atom
- DOS at the Fermi energy: 6.7 states/eV/f.u.

abc: 8.649 8.649 8.644
angles: 120.02 90.00 120.00
Positions (direct):
Er (0.000, 0.500, 0.500)
Te (0.743, 0.002, 0.245)
Te (0.749, 0.498, 0.747)
Dy (0.000, 0.000, 0.000)
Y (0.000, 0.000, 0.500)
Dy (0.000, 0.500, 0.000)
Te (0.258, 0.002, 0.245)
Te (0.742, 0.998, 0.755)
Er (0.500, 0.500, 0.500)
Te (0.743, 0.487, 0.245)
Er (0.500, 0.000, 0.500)
Te (0.257, 0.513, 0.755)
Dy (0.500, 0.500, 0.000)
Te (0.251, 0.502, 0.253)
Te (0.257, 0.998, 0.755)

=====

First-principles (PBE) data for a relaxed Sr2AsW crystal, as listed in the Alexandria database.

- Formation energy: 1.89 eV/f.u.
- DOS at the Fermi energy: 2.3 states/eV/f.u.

abc: 3.196 3.195 10.283
angles: 71.88 90.00 90.00
Positions (direct):
Sr (0.000, 0.009, 0.991)
Sr (0.000, 0.491, 0.509)
As (0.500, 0.750, 0.750)
W (0.500, 0.250, 0.250)

=====

First-principles (PBE) data for a relaxed Cr2ReNi crystal, as listed in the Alexandria database.

- Formation energy: 0.77 eV/f.u.
- DOS at the Fermi energy: 6.5 states/eV/f.u.

abc: 2.553 2.553 7.675
angles: 90.00 90.00 90.00
Positions (direct):
Re (0.500, 0.500, 0.750)
Cr (0.000, 0.000, 0.018)
Ni (0.500, 0.500, 0.250)
Cr (0.000, 0.000, 0.482)

=====

First-principles (PBE) data for a relaxed Re2IrRu crystal, as listed in the Alexandria database.

- Formation energy: -0.30 eV/f.u.
- DOS at the Fermi energy: 3.5 states/eV/f.u.

abc: 2.736 2.736 7.764
angles: 90.00 90.00 90.00
Positions (direct):
Ir (0.500, 0.500, 0.750)
Re (0.000, 0.000, 0.003)
Ru (0.500, 0.500, 0.250)
Re (0.000, 0.000, 0.497)

=====

First-principles (PBE) data for a relaxed CeSmNiPt crystal, as listed in the Alexandria database.

- Formation energy: -2.96 eV/f.u.
- DOS at the Fermi energy: 6.2 states/eV/f.u.

abc: 3.789 4.393 5.696
angles: 90.00 109.43 90.00
Last column: magnetic moment on the atom in μB.
Positions (direct):
Ni (0.411, 0.000, 0.822)  -0.04
Ce (0.866, 0.500, 0.733)  0.34
Pt (0.581, 0.500, 0.162)  0.00
Sm (0.141, 0.000, 0.283)  0.01

=====

First-principles (PBE) data for a relaxed Ba2SrCaGa crystal, as listed in the Alexandria database.

- Formation energy: 0.01 eV/f.u.
- DOS at the Fermi energy: 8.5 states/eV/f.u.

abc: 6.504 6.504 6.360
angles: 90.00 90.00 90.00
Last column: magnetic moment on the atom in μB.
Positions (direct):
Sr (0.000, 0.000, 0.500)  0.03
Ga (0.000, 0.000, 0.000)  0.08
Ba (0.000, 0.500, 0.000)  0.07
Ba (0.500, 0.000, 0.000)  0.07
Ca (0.500, 0.500, 0.500)  0.04

=====

First-principles (PBE) data for a relaxed TiMo8W3 crystal, as listed in the Alexandria database.

- Formation energy: 4.17 eV/f.u.
- DOS at the Fermi energy: 15.1 states/eV/f.u.

abc: 5.162 5.162 8.615
angles: 90.00 90.00 120.00
Positions (direct):
Ti (0.000, 0.000, 0.000)
W (0.667, 0.333, 0.467)
Mo (0.830, 0.661, 0.753)
Mo (0.170, 0.339, 0.247)
Mo (0.170, 0.830, 0.247)
Mo (0.339, 0.170, 0.753)
Mo (0.661, 0.830, 0.247)
Mo (0.830, 0.170, 0.753)
Mo (0.333, 0.667, 0.945)
W (0.333, 0.667, 0.533)
W (0.000, 0.000, 0.500)
Mo (0.667, 0.333, 0.055)

=====

First-principles (PBE) data for a relaxed SiB2Ru4 crystal, as listed in the Alexandria database.

- Formation energy (no corrections): 0.290 eV/atom
- DOS at the Fermi energy: 5.6 states/eV/f.u.

abc: 3.171 5.683 5.683
angles: 85.54 73.80 73.80
Positions (direct):
Ru (0.747, 0.753, 0.753)
B (0.750, 0.500, 0.500)
Ru (0.253, 0.247, 0.247)
B (0.250, 0.500, 0.500)
Ru (0.500, 0.753, 0.247)
Ru (0.500, 0.247, 0.753)
Si (0.000, 0.000, 0.000)

=====

First-principles (PBE) data for a relaxed LiCaBiF6 crystal, as listed in the Alexandria database.

- Formation energy (no corrections): -3.030 eV/atom
- DOS at the Fermi energy: 0.0 states/eV/f.u.

abc: 5.555 5.555 10.047
angles: 90.00 90.00 120.00
Positions (direct):
F (0.325, 0.348, 0.367)
F (0.977, 0.652, 0.867)
F (0.675, 0.023, 0.867)
F (0.023, 0.348, 0.133)
F (0.348, 0.325, 0.867)
F (0.348, 0.023, 0.633)
F (0.023, 0.675, 0.367)
F (0.652, 0.977, 0.367)
Ca (0.333, 0.667, 0.750)
Li (0.667, 0.333, 0.750)
F (0.652, 0.675, 0.133)
Ca (0.667, 0.333, 0.250)
Bi (0.000, 0.000, 0.000)
Bi (0.000, 0.000, 0.500)
Li (0.333, 0.667, 0.250)
F (0.675, 0.652, 0.633)
F (0.977, 0.325, 0.633)
F (0.325, 0.977, 0.133)

=====

First-principles (PBE) data for a relaxed Ca4ZnAu crystal, as listed in the Alexandria database.

- Formation energy: -1.73 eV/f.u.
- DOS at the Fermi energy: 6.4 states/eV/f.u.

abc: 5.184 5.186 7.275
angles: 89.95 89.97 90.00
Positions (direct):
Ca (0.001, 0.497, 0.251)
Ca (0.501, 0.997, 0.251)
Ca (0.501, 0.998, 0.745)
Au (0.001, 0.997, 0.498)
Ca (0.001, 0.497, 0.745)
Zn (0.501, 0.497, 0.998)

=====

First-principles (PBE) data for a relaxed LiGeHAu2 crystal, as listed in the Alexandria database.

- Total energy: -2.707 eV per atom
- DOS at the Fermi energy: 1.6 states/eV/f.u.

abc: 4.869 5.255 4.869
angles: 90.00 90.00 90.00
Last column: magnetic moment on the atom in μB.
Positions (direct):
Li (0.000, 0.500, 0.000)  0.00
Au (0.000, 0.000, 0.500)  0.02
H (0.500, 0.500, 0.500)  0.35
Ge (0.000, 0.000, 0.000)  0.03
Au (0.500, 0.000, 0.000)  0.04

=====

First-principles (PBE) data for a relaxed CeDyPbO2 crystal, as listed in the Alexandria database.

- Formation energy (no corrections): -2.514 eV/atom
- DOS at the Fermi energy: 5.2 states/eV/f.u.

abc: 3.915 3.915 7.425
angles: 105.29 105.29 90.00
Last column: magnetic moment on the atom in μB.
Positions (direct):
Ce (0.165, 0.165, 0.330)  0.59
O (0.252, 0.752, 0.503)  -0.01
Dy (0.834, 0.834, 0.667)  -0.01
Pb (0.499, 0.499, 0.997)  0.00
O (0.752, 0.252, 0.503)  -0.01

=====

First-principles (PBE) data for a relaxed BaZrRuO6 crystal, as listed in the Alexandria database.

- Formation energy (no corrections): -2.004 eV/atom
- DOS at the Fermi energy: 3.5 states/eV/f.u.

abc: 7.504 7.229 7.328
angles: 119.55 120.80 90.00
Last column: magnetic moment on the atom in μB.
Positions (direct):
Ru (0.500, 0.500, 0.000)  0.18
Ru (0.500, 0.000, 0.000)  0.18
Zr (0.000, 0.000, 0.500)  0.00
O (0.817, 0.124, 0.269)  0.01
O (0.487, 0.737, 0.974)  0.01
O (0.513, 0.263, 0.026)  0.01
O (0.548, 0.876, 0.731)  0.01
Ba (0.174, 0.424, 0.349)  0.00
Ba (0.826, 0.576, 0.651)  0.00
O (0.183, 0.356, 0.731)  0.01
O (0.452, 0.124, 0.269)  0.01
O (0.452, 0.644, 0.269)  0.01
O (0.836, 0.086, 0.672)  0.00
O (0.548, 0.356, 0.731)  0.01
O (0.817, 0.644, 0.269)  0.01
Zr (0.500, 0.000, 0.500)  0.00
O (0.183, 0.876, 0.731)  0.01
O (0.164, 0.914, 0.328)  0.00

=====

First-principles (PBE) data for a relaxed ErZrAgPd crystal, as listed in the Alexandria database.

- Formation energy: -1.57 eV/f.u.
- DOS at the Fermi energy: 3.7 states/eV/f.u.

abc: 4.905 4.905 4.905
angles: 60.00 60.00 60.00
Positions (direct):
Pd (0.750, 0.750, 0.750)
Ag (0.250, 0.250, 0.250)
Zr (0.500, 0.500, 0.500)
Er (0.000, 0.000, 0.000)

=====

First-principles (PBE) data for a relaxed CoSb3Pd crystal, as listed in the Alexandria database.

- Formation energy (no corrections): 0.364 eV/atom
- DOS at the Fermi energy: 1.1 states/eV/f.u.

abc: 4.878 4.878 4.878
angles: 90.00 90.00 90.00
Positions (direct):
Sb (0.500, 0.000, 0.000)
Sb (0.000, 0.000, 0.500)
Co (0.000, 0.000, 0.000)
Sb (0.000, 0.500, 0.000)
Pd (0.500, 0.500, 0.500)

=====

First-principles (PBE) data for a relaxed YAgO3 crystal, as listed in the Alexandria database.

- Formation energy (no corrections): -1.558 eV/atom
- DOS at the Fermi energy: 2.8 states/eV/f.u.

abc: 3.924 5.882 6.243
angles: 90.00 108.32 90.00
Positions (direct):
Ag (0.973, 0.250, 0.946)
O (0.499, 0.750, 0.998)
Y (0.304, 0.750, 0.608)
Ag (0.027, 0.750, 0.054)
O (0.501, 0.250, 0.002)
O (0.163, 0.477, 0.326)
O (0.163, 0.023, 0.326)
O (0.837, 0.523, 0.674)
O (0.837, 0.977, 0.674)
Y (0.696, 0.250, 0.392)

=====

First-principles (PBE) data for a relaxed Pu2BrCl3 crystal, as listed in the Alexandria database.

- Formation energy (no corrections): -1.651 eV/atom
- DOS at the Fermi energy: 23.8 states/eV/f.u.

abc: 4.158 8.970 10.905
angles: 80.91 79.01 76.60
Last column: magnetic moment on the atom in μB.
Positions (direct):
Br (0.409, 0.517, 0.665)  0.00
Cl (0.763, 0.868, 0.606)  0.04
Pu (0.148, 0.574, 0.131)  5.73
Br (0.591, 0.483, 0.335)  0.00
Cl (0.052, 0.153, 0.743)  0.02
Pu (0.622, 0.196, 0.559)  -5.67
Cl (0.660, 0.703, 0.977)  -0.05
Pu (0.852, 0.426, 0.869)  5.73
Cl (0.340, 0.297, 0.023)  -0.05
Cl (0.948, 0.847, 0.257)  0.02
Cl (0.237, 0.132, 0.394)  0.04
Pu (0.378, 0.804, 0.441)  -5.67

=====

First-principles (PBE) data for a relaxed TbDyEr4 crystal, as listed in the Alexandria database.

- Formation energy: 1.20 eV/f.u.
- DOS at the Fermi energy: 12.7 states/eV/f.u.

abc: 3.422 5.736 9.764
angles: 90.00 90.00 90.07
Positions (direct):
Er (0.997, 0.501, 0.313)
Er (0.497, 0.001, 0.814)
Er (0.997, 0.501, 0.691)
Dy (0.497, 0.501, 0.002)
Tb (0.997, 0.001, 0.502)
Er (0.497, 0.001, 0.190)

=====

First-principles (PBE) data for a relaxed CePm3Os crystal, as listed in the Alexandria database.

- Formation energy: -0.37 eV/f.u.
- DOS at the Fermi energy: 9.0 states/eV/f.u.

abc: 7.486 7.486 7.404
angles: 109.66 112.58 106.70
Last column: magnetic moment on the atom in μB.
Positions (direct):
Pm (0.293, 0.554, 0.847)  0.05
Pm (0.155, 0.951, 0.713)  0.04
Pm (0.762, 0.557, 0.713)  0.04
Pm (0.238, 0.443, 0.287)  0.04
Os (0.626, 0.762, 0.389)  -0.03
Pm (0.707, 0.446, 0.153)  0.05
Pm (0.845, 0.049, 0.287)  0.04
Ce (0.297, 0.953, 0.250)  0.56
Ce (0.703, 0.047, 0.750)  0.56
Os (0.374, 0.238, 0.611)  -0.03